Compound: NaPu4H10
Source: the Alexandria database
Functional: PBE
Structure: relaxed

Unit cell a=15.874 b=15.874 c=15.874 alpha=13.40 beta=13.40 gamma=13.40
Fractional coordinates of all 15 atoms:
Na1 0.000 0.000 0.000
Pu1 0.200 0.200 0.200
Pu2 0.401 0.401 0.401
Pu3 0.599 0.599 0.599
Pu4 0.800 0.800 0.800
H1 0.054 0.054 0.054
H2 0.151 0.151 0.151
H3 0.248 0.248 0.248
H4 0.356 0.356 0.356
H5 0.450 0.450 0.450
H6 0.550 0.550 0.550
H7 0.644 0.644 0.644
H8 0.752 0.752 0.752
H9 0.849 0.849 0.849
H10 0.946 0.946 0.946

Results
Space-group type   R-3m (166)
Crystal system   trigonal
Calculated volume   12.5 Å³/atom
Density   8.96 Mg/m³
Raw total energy   -6.423 eV per atom

Compound: LiLaNdPb
Source: the Alexandria database
Functional: PBE
Structure: relaxed

Unit cell a=5.518 b=5.518 c=5.518 alpha=60.00 beta=60.00 gamma=60.00
Fractional coordinates of all 4 atoms:
Li1 0.000 0.000 0.000
La1 0.750 0.750 0.750
Nd1 0.250 0.250 0.250
Pb1 0.500 0.500 0.500

Results
Space-group type   F-43m (216)
Crystal system   cubic
Calculated volume   29.7 Å³/atom
Density   6.95 Mg/m³
Raw total energy   -4.163 eV per atom
Energy of formation from the pure elements   -0.334 eV/atom

Compound: Sc2SbSe
Source: the Alexandria database
Functional: PBE
Structure: relaxed

Unit cell a=4.067 b=6.267 c=6.267 alpha=36.10 beta=90.00 gamma=90.00
Fractional coordinates of all 4 atoms:
Sc1 0.000 0.000 0.000
Sc2 0.500 0.268 0.268
Sb1 0.500 0.538 0.538
Se1 0.000 0.782 0.782

Results
Space-group type   Amm2 (38)
Crystal system   orthorhombic
Calculated volume   23.5 Å³/atom
Density   5.13 Mg/m³
Raw total energy   -6.172 eV per atom
Uncorrected formation energy   -1.105 eV/atom

Compound: BaNd2Br6
Source: the Alexandria database
Functional: PBE
Structure: relaxed

Unit cell a=9.960 b=9.960 c=7.013 alpha=105.15 beta=105.15 gamma=65.73
Fractional coordinates of all 18 atoms:
Ba1 0.198 0.802 0.750
Ba2 0.802 0.198 0.250
Nd1 0.239 0.282 0.063
Nd2 0.282 0.239 0.563
Nd3 0.718 0.761 0.437
Nd4 0.761 0.718 0.937
Br1 0.050 0.168 0.686
Br2 0.079 0.542 0.813
Br3 0.168 0.050 0.186
Br4 0.310 0.488 0.431
Br5 0.458 0.921 0.687
Br6 0.488 0.310 0.931
Br7 0.512 0.690 0.069
Br8 0.542 0.079 0.313
Br9 0.690 0.512 0.569
Br10 0.832 0.950 0.814
Br11 0.921 0.458 0.187
Br12 0.950 0.832 0.314

Results
Space-group type   C2/c (15)
Crystal system   monoclinic
Calculated volume   33.5 Å³/atom
Density   4.99 Mg/m³
Raw total energy   -4.188 eV per atom
Uncorrected formation energy   -1.799 eV/atom

Compound: PmPuTh2
Source: the Alexandria database
Functional: PBE
Structure: relaxed

Unit cell a=5.046 b=5.046 c=4.849 alpha=90.00 beta=90.00 gamma=90.00
Fractional coordinates of all 4 atoms:
Pm1 0.000 0.000 0.000
Pu1 0.500 0.500 0.000
Th1 0.000 0.500 0.500
Th2 0.500 0.000 0.500

Results
Space-group type   P4/mmm (123)
Crystal system   tetragonal
Calculated volume   30.9 Å³/atom
Density   11.48 Mg/m³
Raw total energy   -8.358 eV per atom
Energy of formation from the pure elements   0.122 eV/atom

Compound: CaBr
Source: the Alexandria database
Functional: PBE
Structure: relaxed

Unit cell a=4.110 b=14.660 c=7.367 alpha=90.00 beta=90.00 gamma=90.00
Fractional coordinates of all 12 atoms:
Ca1 0.250 0.133 0.021
Ca2 0.250 0.367 0.021
Ca3 0.250 0.750 0.332
Ca4 0.750 0.250 0.668
Ca5 0.750 0.633 0.979
Ca6 0.750 0.867 0.979
Br1 0.250 0.250 0.362
Br2 0.250 0.543 0.222
Br3 0.250 0.957 0.222
Br4 0.750 0.043 0.778
Br5 0.750 0.457 0.778
Br6 0.750 0.750 0.638

Results
Space-group type   Pmmn (59)
Crystal system   orthorhombic
Calculated volume   37.0 Å³/atom
Density   2.69 Mg/m³
Raw total energy   -3.185 eV per atom
Uncorrected formation energy   -1.348 eV/atom

Compound: TiNb2Os
Source: the Alexandria database
Functional: PBE
Structure: relaxed

Unit cell a=4.559 b=4.559 c=3.180 alpha=90.00 beta=90.00 gamma=90.00
Fractional coordinates of all 4 atoms:
Ti1 0.000 0.000 0.000
Nb1 0.000 0.500 0.500
Nb2 0.500 0.000 0.500
Os1 0.500 0.500 0.000

Results
Space-group type   P4/mmm (123)
Crystal system   tetragonal
Calculated volume   16.5 Å³/atom
Density   10.65 Mg/m³
Raw total energy   -10.050 eV per atom
Energy of formation from the pure elements   -0.234 eV/atom

Compound: InRu2Se
Source: the Alexandria database
Functional: PBE
Structure: relaxed

Unit cell a=3.112 b=3.112 c=6.617 alpha=90.00 beta=90.00 gamma=90.00
Fractional coordinates of all 4 atoms:
In1 0.000 0.000 0.000
Ru1 0.500 0.500 0.278
Ru2 0.500 0.500 0.722
Se1 0.000 0.000 0.500

Results
Space-group type   P4/mmm (123)
Crystal system   tetragonal
Calculated volume   16.0 Å³/atom
Density   10.26 Mg/m³
Raw total energy   -6.049 eV per atom
Uncorrected formation energy   0.144 eV/atom

Compound: BeOsRu
Source: the Alexandria database
Functional: PBE
Structure: relaxed

Unit cell a=3.982 b=3.982 c=3.982 alpha=60.00 beta=60.00 gamma=60.00
Fractional coordinates of all 3 atoms:
Be1 0.000 0.000 0.000
Os1 0.500 0.500 0.500
Ru1 0.750 0.750 0.750

Results
Space-group type   F-43m (216)
Crystal system   cubic
Calculated volume   14.9 Å³/atom
Density   11.17 Mg/m³
Raw total energy   -7.689 eV per atom
Energy of formation from the pure elements   0.389 eV/atom

Compound: CrCdRu3
Source: the Alexandria database
Functional: PBE
Structure: relaxed

Unit cell a=4.449 b=4.449 c=4.449 alpha=90.00 beta=90.00 gamma=90.00
Fractional coordinates of all 5 atoms:
Cr1 0.000 0.000 0.000
Cd1 0.500 0.500 0.500
Ru1 0.000 0.000 0.500
Ru2 0.000 0.500 0.000
Ru3 0.500 0.000 0.000

Results
Space-group type   Pm-3m (221)
Crystal system   cubic
Calculated volume   17.6 Å³/atom
Density   8.82 Mg/m³
Raw total energy   -6.633 eV per atom
Energy of formation from the pure elements   1.041 eV/atom

Compound: AlRhBr2
Source: the Alexandria database
Functional: PBE
Structure: relaxed

Unit cell a=8.335 b=8.335 c=8.335 alpha=139.39 beta=139.39 gamma=58.79
Fractional coordinates of all 8 atoms:
Al1 0.000 0.000 0.000
Al2 0.750 0.250 0.500
Rh1 0.250 0.750 0.500
Rh2 0.500 0.500 0.000
Br1 0.206 0.625 0.081
Br2 0.375 0.456 0.581
Br3 0.544 0.125 0.919
Br4 0.875 0.794 0.419

Results
Space-group type   I-42d (122)
Crystal system   tetragonal
Calculated volume   30.4 Å³/atom
Density   3.96 Mg/m³
Raw total energy   -3.275 eV per atom
Uncorrected formation energy   0.335 eV/atom

Compound: PRuW
Source: the Alexandria database
Functional: PBE
Structure: relaxed

Unit cell a=4.471 b=4.471 c=4.471 alpha=142.64 beta=126.75 gamma=66.85
Fractional coordinates of all 3 atoms:
P1 0.000 0.000 0.000
Ru1 0.325 0.325 0.000
W1 0.669 0.669 0.000

Results
Space-group type   Imm2 (44)
Crystal system   orthorhombic
Calculated volume   14.3 Å³/atom
Density   12.25 Mg/m³
Raw total energy   -9.158 eV per atom
Energy of formation from the pure elements   0.055 eV/atom

Repeat the fifth record exactly.
Compound: PmPuTh2
Source: the Alexandria database
Functional: PBE
Structure: relaxed

Unit cell a=5.046 b=5.046 c=4.849 alpha=90.00 beta=90.00 gamma=90.00
Fractional coordinates of all 4 atoms:
Pm1 0.000 0.000 0.000
Pu1 0.500 0.500 0.000
Th1 0.000 0.500 0.500
Th2 0.500 0.000 0.500

Results
Space-group type   P4/mmm (123)
Crystal system   tetragonal
Calculated volume   30.9 Å³/atom
Density   11.48 Mg/m³
Raw total energy   -8.358 eV per atom
Energy of formation from the pure elements   0.122 eV/atom